Density functional theory data (GGA-PBE) for an optimized crystal structure of Pu3CoP3.

Values from the calculation:
The density of states at the Fermi level is 3.783 states/eV per atom. Its space group is P6_3/m, No. 176.

abc: 7.9902 7.9902 5.5869
angles: 90.00 90.00 120.00
Last column: nearest neighbours and their distance in Å.
Fractional positions:
Pu 0.0857 0.6917 0.2500  5 P 2.76-2.83
Pu 0.3083 0.3940 0.2500  5 P 2.76-2.83
Pu 0.3940 0.0857 0.7500  5 P 2.76-2.83
Pu 0.6060 0.9143 0.2500  5 P 2.76-2.83
Pu 0.6917 0.6060 0.7500  5 P 2.76-2.83
Pu 0.9143 0.3083 0.7500  5 P 2.76-2.83
Co 0.3333 0.6667 0.7500  3 P 2.23
Co 0.6667 0.3333 0.2500  3 P 2.23
P 0.0812 0.7150 0.7500  1 Co 2.23
P 0.2850 0.3662 0.7500  1 Co 2.23
P 0.3662 0.0812 0.2500  1 Co 2.23
P 0.6338 0.9188 0.7500  1 Co 2.23
P 0.7150 0.6338 0.2500  1 Co 2.23
P 0.9188 0.2850 0.2500  1 Co 2.23



Density functional theory data (GGA-PBE) for an optimized crystal structure of BaHS.

Values from the calculation:
The density of states at the Fermi level is 0.000 states/eV per atom. Its space group is Pm, No. 6.

abc: 4.6321 4.5912 6.6435
angles: 90.00 90.55 90.00
Last column: nearest neighbours and their distance in Å.
Fractional positions:
Ba 0.0000 0.0000 0.0000  3 H 2.70-2.91
Ba 0.4981 0.5000 0.5149  4 H 2.70-2.88
H 0.3572 0.0000 0.3234  1 H 0.78
H 0.4896 0.0000 0.2520  1 H 0.78
S 0.5035 0.5000 0.9930  2 H 2.87, 1 Ba 3.18
S 0.9806 0.0000 0.5302  1 H 2.23



Density functional theory data (GGA-PBE) for an optimized crystal structure of Sc2AuCl.

Values from the calculation:
The density of states at the Fermi level is 0.666 states/eV per atom. Its space group is I-4m2, No. 119. The energy above the lowest structure with this stoichiometry comes out at 0.3617 eV/atom. For the uncorrected formation energy, the calculation gives -13.9 kcal/mol of atoms.

abc: 6.4301 6.4301 6.4301
angles: 145.32 145.32 49.85
Last column: nearest neighbours and their distance in Å.
Fractional positions:
Sc 0.0000 0.0000 0.0000  4 Cl 2.71
Sc 0.7500 0.2500 0.5000  4 Au 2.71
Au 0.2500 0.7500 0.5000  4 Sc 2.71
Cl 0.5000 0.5000 0.0000  4 Sc 2.71



Density functional theory data (GGA-PBE) for an optimized crystal structure of CuSb2Te.

Values from the calculation:
The density of states at the Fermi level is 0.748 states/eV per atom. Its space group is I-42d, No. 122. For the uncorrected formation energy, the calculation gives 4.7 kcal/mol of atoms.

abc: 7.7906 7.7906 7.7906
angles: 131.93 131.93 70.34
Last column: nearest neighbours and their distance in Å.
Fractional positions:
Cu 0.0000 0.0000 0.0000  4 Sb 2.52
Cu 0.7500 0.2500 0.5000  4 Sb 2.52
Sb 0.0541 0.6250 0.9291  2 Cu 2.52
Sb 0.3750 0.3041 0.4291  2 Cu 2.52
Sb 0.6959 0.1250 0.0709  2 Cu 2.52
Sb 0.8750 0.9459 0.5709  2 Cu 2.52
Te 0.2500 0.7500 0.5000  4 Sb 3.03
Te 0.5000 0.5000 0.0000  4 Sb 3.03



| no. | magnetization (μB/cell) | electronic total energy (hartree per atom) |
| --- | --- | --- |
| 1 | 27.9 | -0.378 |
| 2 | 0.0 | -0.163 |
| 3 | 0.0 | -0.186 |
| 4 | 0.0 | -0.135 |